1.
DFT (PBE-GGA) results for a relaxed MnFe2Br crystal.

Computed properties:
* formation energy from raw total energies: 0.656 eV/atom
* spin magnetization: 8.859 μB/f.u.
* uncorrected energy: -25.1 eV for the cell shown
* ΔE to the lowest computed polymorph: 0.303 eV/atom

CIF file:
```
data_MnFe2Br
_cell_length_a 5.1551
_cell_length_b 5.1551
_cell_length_c 5.1551
_cell_angle_alpha 145.20
_cell_angle_beta 130.70
_cell_angle_gamma 61.75
_space_group_name_H-M_alt 'P 1'
_space_group_IT_number 1
loop_
_space_group_symop_operation_xyz
'x,y,z'
loop_
_atom_site_label
_atom_site_type_symbol
_atom_site_fract_x
_atom_site_fract_y
_atom_site_fract_z
Mn1 Mn 0.0000 0.0000 0.0000
Fe1 Fe 0.2437 0.7437 0.5000
Fe2 Fe 0.7563 0.2563 0.5000
Br1 Br 0.5000 0.5000 0.0000
```


2.
DFT (PBE-GGA) results for a relaxed BaCr2Mo crystal.

Computed properties:
* formation energy: 1.475 eV/atom
* spin magnetization: 0.001 μB/f.u.
* uncorrected energy: -26.1 eV for the cell shown
* ΔE to the lowest computed polymorph: 0.705 eV/atom

CIF file:
```
data_BaCr2Mo
_cell_length_a 4.6393
_cell_length_b 4.6393
_cell_length_c 4.6393
_cell_angle_alpha 60.00
_cell_angle_beta 60.00
_cell_angle_gamma 60.00
_space_group_name_H-M_alt 'P 1'
_space_group_IT_number 1
loop_
_space_group_symop_operation_xyz
'x,y,z'
loop_
_atom_site_label
_atom_site_type_symbol
_atom_site_fract_x
_atom_site_fract_y
_atom_site_fract_z
Ba1 Ba 0.0000 0.0000 0.0000
Cr1 Cr 0.2500 0.2500 0.2500
Cr2 Cr 0.7500 0.7500 0.7500
Mo1 Mo 0.5000 0.5000 0.5000
```


3.
DFT (PBE-GGA) results for a relaxed ZnOsBr2 crystal.

Computed properties:
* formation energy from raw total energies: 0.967 eV/atom
* spin magnetization: 0.949 μB/f.u.
* uncorrected energy: -12.0 eV for the cell shown
* ΔE to the lowest computed polymorph: 0.782 eV/atom

CIF file:
```
data_ZnOsBr2
_cell_length_a 3.1358
_cell_length_b 4.3080
_cell_length_c 5.9584
_cell_angle_alpha 90.00
_cell_angle_beta 90.00
_cell_angle_gamma 90.00
_space_group_name_H-M_alt 'P 1'
_space_group_IT_number 1
loop_
_space_group_symop_operation_xyz
'x,y,z'
loop_
_atom_site_label
_atom_site_type_symbol
_atom_site_fract_x
_atom_site_fract_y
_atom_site_fract_z
Zn1 Zn 0.0000 0.0000 0.0000
Os1 Os 0.5000 0.0000 0.5000
Br1 Br 0.0000 0.5000 0.5000
Br2 Br 0.5000 0.5000 0.0000
```


4.
DFT (PBE-GGA) results for a relaxed MgReBr3 crystal.

Computed properties:
* formation energy from raw total energies: 0.342 eV/atom
* spin magnetization: 6.000 μB/f.u.
* uncorrected energy: -17.4 eV for the cell shown
* ΔE to the lowest computed polymorph: 0.000 eV/atom

CIF file:
```
data_MgReBr3
_cell_length_a 5.2877
_cell_length_b 5.2877
_cell_length_c 5.2877
_cell_angle_alpha 90.00
_cell_angle_beta 90.00
_cell_angle_gamma 90.00
_space_group_name_H-M_alt 'P 1'
_space_group_IT_number 1
loop_
_space_group_symop_operation_xyz
'x,y,z'
loop_
_atom_site_label
_atom_site_type_symbol
_atom_site_fract_x
_atom_site_fract_y
_atom_site_fract_z
Mg1 Mg 0.0000 0.0000 0.0000
Re1 Re 0.5000 0.5000 0.5000
Br1 Br 0.0000 0.0000 0.5000
Br2 Br 0.0000 0.5000 0.0000
Br3 Br 0.5000 0.0000 0.0000
```


5.
DFT (PBE-GGA) results for a relaxed Hf3NbGe crystal.

Computed properties:
* formation energy: 1.058 eV/atom
* spin magnetization: 0.001 μB/f.u.
* uncorrected energy: -39.3 eV for the cell shown
* ΔE to the lowest computed polymorph: 0.452 eV/atom

CIF file:
```
data_Hf3NbGe
_cell_length_a 5.0513
_cell_length_b 5.0513
_cell_length_c 5.0513
_cell_angle_alpha 90.00
_cell_angle_beta 90.00
_cell_angle_gamma 90.00
_space_group_name_H-M_alt 'P 1'
_space_group_IT_number 1
loop_
_space_group_symop_operation_xyz
'x,y,z'
loop_
_atom_site_label
_atom_site_type_symbol
_atom_site_fract_x
_atom_site_fract_y
_atom_site_fract_z
Hf1 Hf 0.0000 0.0000 0.5000
Hf2 Hf 0.0000 0.5000 0.0000
Hf3 Hf 0.5000 0.0000 0.0000
Nb1 Nb 0.0000 0.0000 0.0000
Ge1 Ge 0.5000 0.5000 0.5000
```


6.
DFT (PBE-GGA) results for a relaxed K2InSn2Br7 crystal.

Computed properties:
* formation energy from raw total energies: -1.054 eV/atom
* spin magnetization: 0.000 μB/f.u.
* uncorrected energy: -37.3 eV for the cell shown

CIF file:
```
data_K2InSn2Br7
_cell_length_a 13.9128
_cell_length_b 13.9128
_cell_length_c 13.9128
_cell_angle_alpha 155.29
_cell_angle_beta 36.99
_cell_angle_gamma 152.91
_space_group_name_H-M_alt 'P 1'
_space_group_IT_number 1
loop_
_space_group_symop_operation_xyz
'x,y,z'
loop_
_atom_site_label
_atom_site_type_symbol
_atom_site_fract_x
_atom_site_fract_y
_atom_site_fract_z
K1 K 0.2245 0.0000 0.2245
K2 K 0.7755 0.0000 0.7755
In1 In 0.1903 0.6903 0.5000
Sn1 Sn 0.3884 0.4984 0.8901
Sn2 Sn 0.6083 0.4984 0.1099
Br1 Br 0.0142 0.9116 0.1026
Br2 Br 0.2756 0.5014 0.7742
Br3 Br 0.3380 0.9449 0.3931
Br4 Br 0.4180 0.4180 0.0000
Br5 Br 0.5518 0.9449 0.6069
Br6 Br 0.7272 0.5014 0.2258
Br7 Br 0.8089 0.9116 0.8974
```


7.
DFT (PBE-GGA) results for a relaxed InCo2Rh2 crystal.

Computed properties:
* formation energy: 0.120 eV/atom
* spin magnetization: 4.403 μB/f.u.
* uncorrected energy: -31.1 eV for the cell shown
* ΔE to the lowest computed polymorph: 0.029 eV/atom

CIF file:
```
data_InCo2Rh2
_cell_length_a 7.1623
_cell_length_b 7.1623
_cell_length_c 7.1623
_cell_angle_alpha 152.97
_cell_angle_beta 152.97
_cell_angle_gamma 38.60
_space_group_name_H-M_alt 'P 1'
_space_group_IT_number 1
loop_
_space_group_symop_operation_xyz
'x,y,z'
loop_
_atom_site_label
_atom_site_type_symbol
_atom_site_fract_x
_atom_site_fract_y
_atom_site_fract_z
In1 In 0.0000 0.0000 0.0000
Co1 Co 0.2500 0.7500 0.5000
Co2 Co 0.7500 0.2500 0.5000
Rh1 Rh 0.3927 0.3927 0.0000
Rh2 Rh 0.6073 0.6073 0.0000
```


8.
DFT (PBE-GGA) results for a relaxed AlPRh2 crystal.

Computed properties:
* formation energy: -0.668 eV/atom
* spin magnetization: 0.000 μB/f.u.
* uncorrected energy: -26.5 eV for the cell shown
* ΔE to the lowest computed polymorph: 0.000 eV/atom

CIF file:
```
data_AlPRh2
_cell_length_a 5.5603
_cell_length_b 5.5603
_cell_length_c 5.5603
_cell_angle_alpha 147.45
_cell_angle_beta 141.59
_cell_angle_gamma 51.21
_space_group_name_H-M_alt 'P 1'
_space_group_IT_number 1
loop_
_space_group_symop_operation_xyz
'x,y,z'
loop_
_atom_site_label
_atom_site_type_symbol
_atom_site_fract_x
_atom_site_fract_y
_atom_site_fract_z
Al1 Al 0.0000 0.0000 0.0000
P1 P 0.2411 0.7411 0.5000
Rh1 Rh 0.4134 0.4134 0.0000
Rh2 Rh 0.6831 0.1831 0.5000
```